Cs3Na2CaF6 after structural relaxation. Source: Alexandria via LeMat-Bulk, functional PBE-GGA.

- crystal system = trigonal
- total moment (μB per formula unit) = 0.42
- V (Å³/cell) = 302.8
- N(E_F) (states/eV per atom) = 0.12

Cell and atoms, written as POSCAR:
```
Cs3Na2CaF6
1.0
6.5863 0.0000 0.0000
-3.2932 5.7039 0.0000
0.0000 0.0000 8.0596
Cs Na Ca F
3 2 1 6
direct
0.0000 0.0000 0.0000
0.3333 0.6667 0.6384
0.6667 0.3333 0.3616
0.3333 0.6667 0.2116
0.6667 0.3333 0.7884
0.0000 0.0000 0.5000
0.1606 0.3212 0.3305
0.1606 0.8394 0.3305
0.3212 0.1606 0.6695
0.6788 0.8394 0.3305
0.8394 0.1606 0.6695
0.8394 0.6788 0.6695
```


Cs2NaCaF6 after structural relaxation. Source: Alexandria via LeMat-Bulk, functional PBE-GGA.

- crystal system = cubic
- total moment (μB per formula unit) = 1.11
- V (Å³/cell) = 195.1
- N(E_F) (states/eV per atom) = 1.63

Cell and atoms, written as POSCAR:
```
Cs2NaCaF6
1.0
0.0000 4.6037 4.6037
4.6037 0.0000 4.6037
4.6037 4.6037 0.0000
Cs Na Ca F
2 1 1 6
direct
0.2500 0.2500 0.2500
0.7500 0.7500 0.7500
0.0000 0.0000 0.0000
0.5000 0.5000 0.5000
0.2543 0.2543 0.7457
0.2543 0.7457 0.2543
0.2543 0.7457 0.7457
0.7457 0.2543 0.2543
0.7457 0.2543 0.7457
0.7457 0.7457 0.2543
```


CsNa2Ca2F7 after structural relaxation. Source: Alexandria via LeMat-Bulk, functional PBE-GGA.

- crystal system = tetragonal
- total moment (μB per formula unit) = 0.00
- V (Å³/cell) = 203.1
- N(E_F) (states/eV per atom) = 0.00

Cell and atoms, written as POSCAR:
```
CsNa2Ca2F7
1.0
-2.2870 2.2870 9.7100
2.2870 -2.2870 9.7100
2.2870 2.2870 -9.7100
Cs Na Ca F
1 2 2 7
direct
0.0000 0.0000 0.0000
0.2500 0.7500 0.5000
0.7500 0.2500 0.5000
0.3837 0.3837 0.0000
0.6163 0.6163 0.0000
0.1215 0.6215 0.5000
0.2673 0.2673 0.0000
0.3785 0.8785 0.5000
0.5000 0.5000 0.0000
0.6215 0.1215 0.5000
0.7327 0.7327 0.0000
0.8785 0.3785 0.5000
```


Cs3NaCa2F9 after structural relaxation. Source: Alexandria via LeMat-Bulk, functional PBE-GGA.

- crystal system = trigonal
- total moment (μB per formula unit) = 1.25
- V (Å³/cell) = 291.8
- N(E_F) (states/eV per atom) = 1.42

Cell and atoms, written as POSCAR:
```
Cs3NaCa2F9
1.0
6.4854 0.0000 0.0000
-3.2427 5.6165 0.0000
0.0000 0.0000 8.0105
Cs Na Ca F
3 1 2 9
direct
0.0000 0.0000 0.0000
0.3333 0.6667 0.6555
0.6667 0.3333 0.3445
0.0000 0.0000 0.5000
0.3333 0.6667 0.1597
0.6667 0.3333 0.8403
0.0000 0.5000 0.0000
0.1705 0.3409 0.3286
0.1705 0.8295 0.3286
0.3409 0.1705 0.6714
0.5000 0.0000 0.0000
0.5000 0.5000 0.0000
0.6591 0.8295 0.3286
0.8295 0.1705 0.6714
0.8295 0.6591 0.6714
```


Number 1: electronic total energy -51.1 eV/cell. Number 2: electronic total energy -44.4 eV/cell. Number 3: electronic total energy -60.4 eV/cell. Number 4: electronic total energy -70.3 eV/cell.